Record 1
The following is a PBE calculation of a geometry-optimized LaHfNbO6 structure, from Alexandria.

Computed properties:
Total moment, μB/f.u.: 0.00
Raw total energy, eV per atom: -9.276
E_form (uncorrected), eV/atom: -3.198

Lattice parameters (Å, degrees): 5.4275 5.4275 10.3071 90.00 90.00 120.00
Last column: nearest neighbours and their distance in Å.
Space group P-31c (No. 163)
Unique sites:
La (0.0000, 0.0000, 0.0000)  6 O 2.47
Hf (0.3333, 0.6667, 0.2500)  6 O 2.09
Nb (0.3333, 0.6667, 0.7500)  6 O 2.02
O (0.0087, 0.3703, 0.6421)  1 Nb 2.02, 1 Hf 2.09

***

Record 2
The following is a PBE calculation of a geometry-optimized ZrMnBe4 structure, from Alexandria.

Computed properties:
Total moment, μB/f.u.: 0.99
Raw total energy, eV per atom: -5.636

Lattice parameters (Å, degrees): 6.3775 6.3775 6.3775 90.00 90.00 90.00
Last column: nearest neighbours and their distance in Å.
Space group F-43m (No. 216)
Unique sites:
Zr (0.0000, 0.0000, 0.0000)  12 Be 2.65, 4 Mn 2.76
Mn (0.2500, 0.2500, 0.7500)  12 Be 2.64, 4 Zr 2.76
Be (0.1229, 0.1229, 0.3771)  6 Be 2.22-2.29

***

Record 3
The following is a PBE calculation of a geometry-optimized AlRe3Mo structure, from Alexandria.

Computed properties:
Total moment, μB/f.u.: 0.00
Raw total energy, eV per atom: -8.731
Energy above the lowest structure with this stoichiometry, meV/atom: 0.0

Lattice parameters (Å, degrees): 4.3920 4.3920 4.3920 90.00 90.00 90.00
Last column: nearest neighbours and their distance in Å.
Space group Pm-3m (No. 221)
Unique sites:
Al (0.0000, 0.0000, 0.0000)  6 Re 2.20
Re (0.0000, 0.0000, 0.5000)  2 Al 2.20
Mo (0.5000, 0.5000, 0.5000)  12 Re 3.11

***

Record 4
The following is a PBE calculation of a geometry-optimized TbPrGa2 structure, from Alexandria.

Computed properties:
Total moment, μB/f.u.: 0.00
Raw total energy, eV per atom: -4.462

Lattice parameters (Å, degrees): 4.4411 4.1387 6.0266 90.00 111.58 90.00
Last column: nearest neighbours and their distance in Å.
Space group Pm (No. 6)
Unique sites:
Tb (0.0000, 0.0000, 0.0000)  7 Ga 3.11-3.28
Pr (0.2780, 0.5000, 0.5587)  7 Ga 3.14-3.30
Ga (0.5617, 0.5000, 0.1231)  2 Ga 2.64
Ga (0.7058, 0.0000, 0.4151)  2 Ga 2.64

***

Record 5
The following is a PBE calculation of a geometry-optimized CdTcCl2 structure, from Alexandria.

Computed properties:
Total moment, μB/f.u.: 1.01
Raw total energy, eV per atom: -3.888
E_form (uncorrected), eV/atom: -0.145
Energy above the lowest structure with this stoichiometry, meV/atom: 60.0

Lattice parameters (Å, degrees): 10.7581 3.0286 6.9378 90.00 114.27 90.00
Last column: nearest neighbours and their distance in Å.
Space group Cm (No. 8)
Unique sites:
Cd (0.0000, 0.0000, 0.0000)  3 Tc 2.84-2.95, 2 Cd 3.03
Tc (0.2643, 0.0000, 0.0006)  4 Cl 2.41
Cl (0.1759, 0.5000, 0.7048)  2 Tc 2.41
Cl (0.3328, 0.5000, 0.2963)  2 Tc 2.41

***

Record 6
The following is a PBE calculation of a geometry-optimized Y3PdF structure, from Alexandria.

Computed properties:
Total moment, μB/f.u.: 0.00
Raw total energy, eV per atom: -6.299
E_form (uncorrected), eV/atom: -1.007
Energy above the lowest structure with this stoichiometry, meV/atom: 0.0

Lattice parameters (Å, degrees): 4.7784 4.7784 4.7784 90.00 90.00 90.00
Last column: nearest neighbours and their distance in Å.
Space group Pm-3m (No. 221)
Unique sites:
Y (0.0000, 0.0000, 0.5000)  2 F 2.39
Pd (0.5000, 0.5000, 0.5000)  12 Y 3.38
F (0.0000, 0.0000, 0.0000)  6 Y 2.39

***

Record 7
The following is a PBE calculation of a geometry-optimized Tb3CoIr2 structure, from Alexandria.

Computed properties:
Total moment, μB/f.u.: 0.00
Raw total energy, eV per atom: -7.063

Lattice parameters (Å, degrees): 11.1887 4.0964 11.3386 90.00 90.00 90.00
Last column: nearest neighbours and their distance in Å.
Space group Pnma (No. 62)
Unique sites:
Tb (0.0525, 0.2500, 0.1199)  1 Co 2.88, 5 Ir 2.96-3.02
Tb (0.1201, 0.7500, 0.5582)  3 Co 2.91-3.02, 5 Ir 2.98-3.03
Tb (0.2058, 0.2500, 0.8022)  2 Co 2.85, 4 Ir 2.89-3.01
Co (0.1278, 0.2500, 0.3632)  3 Ir 2.42-2.49
Ir (0.0253, 0.7500, 0.3124)  2 Co 2.42
Ir (0.1925, 0.7500, 0.9922)  1 Co 2.49

***

Record 8
The following is a PBE calculation of a geometry-optimized P2AuBr structure, from Alexandria.

Computed properties:
Total moment, μB/f.u.: 0.00
Raw total energy, eV per atom: -3.186
E_form (uncorrected), eV/atom: 0.756
Energy above the lowest structure with this stoichiometry, meV/atom: 644.8

Lattice parameters (Å, degrees): 3.1476 4.1929 6.1129 90.00 90.00 90.00
Last column: nearest neighbours and their distance in Å.
Space group Pmmm (No. 47)
Unique sites:
P (0.0000, 0.0000, 0.0000)  4 Br 2.62
P (0.5000, 0.0000, 0.5000)  4 Au 2.62
Au (0.0000, 0.5000, 0.5000)  4 P 2.62
Br (0.5000, 0.5000, 0.0000)  4 P 2.62

***

Record 9
The following is a PBE calculation of a geometry-optimized Be2AlAg structure, from Alexandria.

Computed properties:
Total moment, μB/f.u.: 0.00
Raw total energy, eV per atom: -3.254

Lattice parameters (Å, degrees): 2.7676 2.7676 23.9221 90.00 90.00 120.00
Last column: nearest neighbours and their distance in Å.
Space group R-3m (No. 166, hexagonal axes)
Unique sites:
Be (0.0000, 0.0000, 0.2499)  3 Ag 2.55, 3 Al 2.56, 6 Be 2.77
Al (0.0000, 0.0000, 0.0000)  6 Be 2.56, 6 Al 2.77
Ag (0.0000, 0.0000, 0.5000)  6 Be 2.55, 6 Ag 2.77

***

Record 10
The following is a PBE calculation of a geometry-optimized BeCuAg2 structure, from Alexandria.

Computed properties:
Total moment, μB/f.u.: 0.00
Raw total energy, eV per atom: -3.007

Lattice parameters (Å, degrees): 6.7563 6.7563 5.2872 90.00 90.00 90.00
Last column: nearest neighbours and their distance in Å.
Space group I-42d (No. 122)
Unique sites:
Be (0.0000, 0.0000, 0.0000)  4 Ag 2.31
Cu (0.0000, 0.0000, 0.5000)  2 Be 2.64, 4 Ag 2.66
Ag (0.2111, 0.2500, 0.1250)  2 Be 2.31

***

Record 11
The following is a PBE calculation of a geometry-optimized AlHg3Os structure, from Alexandria.

Computed properties:
Total moment, μB/f.u.: 0.00
Raw total energy, eV per atom: -2.282
Energy above the lowest structure with this stoichiometry, meV/atom: 0.0

Lattice parameters (Å, degrees): 5.2487 5.2487 5.2487 90.00 90.00 90.00
Last column: nearest neighbours and their distance in Å.
Space group Pm-3m (No. 221)
Unique sites:
Al (0.0000, 0.0000, 0.0000)  12 Hg 3.71
Hg (0.0000, 0.5000, 0.5000)  2 Os 2.62
Os (0.5000, 0.5000, 0.5000)  6 Hg 2.62

***

Record 12
The following is a PBE calculation of a geometry-optimized PrUS3 structure, from Alexandria.

Computed properties:
Total moment, μB/f.u.: 2.92
Raw total energy, eV per atom: -7.018
E_form (uncorrected), eV/atom: -1.328
Energy above the lowest structure with this stoichiometry, meV/atom: 404.9

Lattice parameters (Å, degrees): 6.4943 16.1711 5.1821 90.00 90.00 90.00
Last column: nearest neighbours and their distance in Å.
Space group Cmmm (No. 65)
Unique sites:
Pr (0.0000, 0.1817, 0.0000)  1 S 2.78
U (0.0000, 0.3811, 0.5000)  6 S 2.60-2.67
S (0.0000, 0.3537, 0.0000)  2 U 2.63, 1 Pr 2.78
S (0.2311, 0.0000, 0.5000)  2 U 2.60
S (0.2500, 0.2500, 0.5000)  2 U 2.67